Here is crystalline Tb2Nd6YSc at its relaxed geometry from Alexandria via LeMat-Bulk. Energies are from GGA-PBE.

Values from the calculation:
The formation energy from the elements comes out at 0.124 eV/atom. The symmetry is C2/c, No. 15. The calculation puts the uncorrected energy at -98.8 eV for the cell shown. The density comes out at 6.53 g/cm3.

Unit cell a=9.487 b=8.973 c=8.973 alpha=118.02 beta=93.42 gamma=93.42
Positions (direct):
Nd1 0.113 0.711 0.492
Nd2 0.613 0.492 0.711
Nd3 0.803 0.439 0.005
Nd4 0.051 0.125 0.766
Nd5 0.449 0.234 0.875
Nd6 0.887 0.289 0.508
Nd7 0.551 0.766 0.125
Nd8 0.387 0.508 0.289
Nd9 0.197 0.561 0.995
Nd10 0.949 0.875 0.234
Nd11 0.697 0.995 0.561
Nd12 0.303 0.005 0.439
Sc1 0.750 0.580 0.420
Sc2 0.250 0.420 0.580
Y1 0.750 0.024 0.976
Y2 0.250 0.976 0.024
Tb1 0.454 0.796 0.694
Tb2 0.546 0.204 0.306
Tb3 0.046 0.306 0.204
Tb4 0.954 0.694 0.796